# Ni2Rh5 PBE relaxed
# energy of formation from the pure elements = 0.0385 eV/atom
# spin magnetization = 2.97 μB per cell
data_Ni2Rh5
_chemical_formula_sum 'Ni4 Rh10'
_symmetry_space_group_name_H-M 'I 4/m m m'
_symmetry_Int_Tables_number 139
_symmetry_space_group_name_Hall '-I 4 2'
_cell_length_a 2.707
_cell_length_b 2.707
_cell_length_c 25.519
_cell_angle_alpha 90.00
_cell_angle_beta 90.00
_cell_angle_gamma 90.00
loop_
_atom_site_label
_atom_site_type_symbol
_atom_site_fract_x
_atom_site_fract_y
_atom_site_fract_z
Ni1 Ni 0.000 0.000 0.219
Rh1 Rh 0.000 0.000 0.076
Rh2 Rh 0.000 0.000 0.349
Rh3 Rh 0.000 0.000 0.500